(1)
Computed, not measured: a geometry-optimized Th3Ni structure at the PBE-GGA level of DFT.

The crystal system is tetragonal. Its formation energy is 1.95 eV/f.u. The calculation puts the magnetic moment at 2.52 μB per cell.

It has space group I4/mmm (No. 139), with a = 4.6415 Å, b = 4.6415 Å, c = 9.9264 Å, α = 90.00°, β = 90.00° and γ = 90.00°. The inequivalent atoms are Th at (0.0000, 0.0000, 0.0000), Th at (0.0000, 0.5000, 0.2500) and Ni at (0.0000, 0.0000, 0.5000).

(2)
Computed, not measured: a geometry-optimized Th3Ni2 structure at the PBE-GGA level of DFT.

The crystal system is trigonal. Its formation energy is -0.66 eV/f.u. The calculation puts the magnetic moment at 0.02 μB per cell.

It has space group R-3c (No. 167, hexagonal axes), with a = 7.1355 Å, b = 7.1355 Å, c = 18.1518 Å, α = 90.00°, β = 90.00° and γ = 120.00°. The inequivalent atoms are Th at (0.0000, 0.3076, 0.2500) and Ni at (0.0000, 0.0000, 0.1506).

(3)
Computed, not measured: a geometry-optimized Th2Ni structure at the PBE-GGA level of DFT.

The crystal system is cubic. Its formation energy is 4.48 eV/f.u. The calculation puts the magnetic moment at 0.08 μB per cell.

It has space group Fd-3m (No. 227, origin choice 2), with a = 11.6508 Å, b = 11.6508 Å, c = 11.6508 Å, α = 90.00°, β = 90.00° and γ = 90.00°. The inequivalent atoms are Th at (0.0000, 0.0000, 0.0000) and Ni at (0.1250, 0.1250, 0.1250).

(4)
Computed, not measured: a geometry-optimized Th3Ni structure at the PBE-GGA level of DFT.

The crystal system is hexagonal. Its formation energy is 0.67 eV/f.u. The calculation puts the magnetic moment at 0.02 μB per cell.

It has space group P6_3/mmc (No. 194), with a = 7.0395 Å, b = 7.0395 Å, c = 4.8819 Å, α = 90.00°, β = 90.00° and γ = 120.00°. The inequivalent atoms are Th at (0.1796, 0.3592, 0.2500) and Ni at (0.3333, 0.6667, 0.7500).

(5)
Computed, not measured: a geometry-optimized Th3Ni structure at the PBE-GGA level of DFT.

The crystal system is cubic. Its formation energy is 1.46 eV/f.u. The calculation puts the magnetic moment at 3.24 μB per cell.

It has space group Fm-3m (No. 225), with a = 7.5227 Å, b = 7.5227 Å, c = 7.5227 Å, α = 90.00°, β = 90.00° and γ = 90.00°. The inequivalent atoms are Th at (0.0000, 0.0000, 0.0000), Th at (0.2500, 0.2500, 0.2500) and Ni at (0.0000, 0.0000, 0.5000).

(6)
Computed, not measured: a geometry-optimized Th2Ni17 structure at the PBE-GGA level of DFT.

The crystal system is hexagonal. Its formation energy is -4.83 eV/f.u. The calculation puts the magnetic moment at 10.33 μB per cell.

It has space group P6_3/mmc (No. 194), with a = 8.3331 Å, b = 8.3331 Å, c = 8.0569 Å, α = 90.00°, β = 90.00° and γ = 120.00°. The inequivalent atoms are Th at (0.0000, 0.0000, 0.2500), Th at (0.3333, 0.6667, 0.2500), Ni at (0.0000, 0.5000, 0.0000), Ni at (0.0450, 0.3731, 0.7500), Ni at (0.1655, 0.3311, 0.0210) and Ni at (0.3333, 0.6667, 0.6016).

(7)
Computed, not measured: a geometry-optimized Th3Ni structure at the PBE-GGA level of DFT.

The crystal system is cubic. Its formation energy is 1.41 eV/f.u. The calculation puts the magnetic moment at 1.10 μB per cell.

It has space group Pm-3m (No. 221), with a = 4.7620 Å, b = 4.7620 Å, c = 4.7620 Å, α = 90.00°, β = 90.00° and γ = 90.00°. The inequivalent atoms are Th at (0.0000, 0.0000, 0.5000) and Ni at (0.5000, 0.5000, 0.5000).

(8)
Computed, not measured: a geometry-optimized Tm2ThNi9 structure at the PBE-GGA level of DFT.

The crystal system is trigonal. Its formation energy is -5.70 eV/f.u. The calculation puts the magnetic moment at 0.36 μB per cell.

It has space group R-3m (No. 166, hexagonal axes), with a = 4.9526 Å, b = 4.9526 Å, c = 24.2771 Å, α = 90.00°, β = 90.00° and γ = 120.00°. The inequivalent atoms are Tm at (0.0000, 0.0000, 0.1406), Th at (0.0000, 0.0000, 0.0000), Ni at (0.0000, 0.0000, 0.3332), Ni at (0.0000, 0.0000, 0.5000) and Ni at (0.0017, 0.5008, 0.9161).

(9)
Computed, not measured: a geometry-optimized ThNiW structure at the PBE-GGA level of DFT.

The crystal system is cubic. Its formation energy is 1.84 eV/f.u. The calculation puts the magnetic moment at 4.68 μB per cell. The calculation puts the energy relative to the lowest polymorph listed for this composition at 0 meV per atom.

It has space group F-43m (No. 216), with a = 6.3367 Å, b = 6.3367 Å, c = 6.3367 Å, α = 90.00°, β = 90.00° and γ = 90.00°. The inequivalent atoms are Th at (0.0000, 0.0000, 0.0000), Ni at (0.2500, 0.2500, 0.7500) and W at (0.0000, 0.0000, 0.5000).

(10)
Computed, not measured: a geometry-optimized YThNi2 structure at the PBE-GGA level of DFT.

The crystal system is monoclinic. Its formation energy is -1.83 eV/f.u. The calculation puts the magnetic moment at 0.00 μB per cell.

It has space group Pm (No. 6), with a = 3.6720 Å, b = 4.3393 Å, c = 5.5441 Å, α = 90.00°, β = 109.23° and γ = 90.00°. The inequivalent atoms are Y at (0.0000, 0.0000, 0.0000), Th at (0.2727, 0.5000, 0.5474), Ni at (0.5611, 0.5000, 0.1236) and Ni at (0.7200, 0.0000, 0.4413).

(11)
Computed, not measured: a geometry-optimized ThZnNi structure at the PBE-GGA level of DFT.

The crystal system is cubic. Its formation energy is -0.84 eV/f.u. The calculation puts the magnetic moment at 0.01 μB per cell.

It has space group F-43m (No. 216), with a = 6.3635 Å, b = 6.3635 Å, c = 6.3635 Å, α = 90.00°, β = 90.00° and γ = 90.00°. The inequivalent atoms are Th at (0.0000, 0.0000, 0.0000), Zn at (0.0000, 0.0000, 0.5000) and Ni at (0.2500, 0.2500, 0.7500).

(12)
Computed, not measured: a geometry-optimized ThZrNi structure at the PBE-GGA level of DFT.

The crystal system is cubic. Its formation energy is 0.19 eV/f.u. The calculation puts the magnetic moment at 0.17 μB per cell.

It has space group F-43m (No. 216), with a = 6.5786 Å, b = 6.5786 Å, c = 6.5786 Å, α = 90.00°, β = 90.00° and γ = 90.00°. The inequivalent atoms are Th at (0.0000, 0.0000, 0.0000), Zr at (0.0000, 0.0000, 0.5000) and Ni at (0.2500, 0.2500, 0.7500).

(13)
Computed, not measured: a geometry-optimized Tl2Ni7 structure at the PBE-GGA level of DFT.

For the total energy, the calculation gives -4.29 eV per atom. The crystal system is trigonal. The calculation puts the magnetic moment at 3.88 μB per cell.

It has space group P-3m1 (No. 164), with a = 2.6574 Å, b = 2.6574 Å, c = 25.2226 Å, α = 90.00°, β = 90.00° and γ = 120.00°. The inequivalent atoms are Tl at (0.3333, 0.6667, 0.1752), Ni at (0.0000, 0.0000, 0.2722), Ni at (0.0000, 0.0000, 0.5000), Ni at (0.3333, 0.6667, 0.4248) and Ni at (0.3333, 0.6667, 0.6514).

(14)
Computed, not measured: a geometry-optimized TlNi structure at the PBE-GGA level of DFT.

For the total energy, the calculation gives -3.64 eV per atom. The crystal system is orthorhombic. The calculation puts the magnetic moment at 0.01 μB per cell.

It has space group Pmma (No. 51), with a = 4.5770 Å, b = 3.2139 Å, c = 4.6083 Å, α = 90.00°, β = 90.00° and γ = 90.00°. The inequivalent atoms are Tl at (0.2500, 0.0000, 0.2426) and Ni at (0.2500, 0.5000, 0.7362).

(15)
Computed, not measured: a geometry-optimized TlNi9 structure at the PBE-GGA level of DFT.

The crystal system is tetragonal. The calculation puts the magnetic moment at 10.13 μB per cell. The calculation puts the energy relative to the lowest polymorph listed for this composition at 67 meV per atom.

It has space group P4/nmm (No. 129, origin choice 2), with a = 2.6447 Å, b = 2.6447 Å, c = 44.1840 Å, α = 90.00°, β = 90.00° and γ = 90.00°. The inequivalent atoms are Tl at (0.2500, 0.2500, 0.1424), Ni at (0.2500, 0.2500, 0.2302), Ni at (0.2500, 0.2500, 0.3021), Ni at (0.2500, 0.2500, 0.3746), Ni at (0.2500, 0.2500, 0.4462), Ni at (0.2500, 0.2500, 0.5177), Ni at (0.2500, 0.2500, 0.5894), Ni at (0.2500, 0.2500, 0.6617), Ni at (0.2500, 0.2500, 0.7338) and Ni at (0.2500, 0.2500, 0.8058).

(16)
Computed, not measured: a geometry-optimized TlNi17 structure at the PBE-GGA level of DFT.

The crystal system is trigonal. The calculation puts the magnetic moment at 7.93 μB per cell. The calculation puts the energy relative to the lowest polymorph listed for this composition at 0 meV per atom.

It has space group P-3m1 (No. 164), with a = 4.9299 Å, b = 4.9299 Å, c = 31.3248 Å, α = 90.00°, β = 90.00° and γ = 120.00°. The inequivalent atoms are Tl at (0.3333, 0.6667, 0.2904), Ni at (0.0000, 0.0000, 0.0000), Ni at (0.0000, 0.0000, 0.1940), Ni at (0.0000, 0.5000, 0.0000), Ni at (0.0016, 0.5008, 0.1931), Ni at (0.1662, 0.3325, 0.1288), Ni at (0.1662, 0.3323, 0.9360), Ni at (0.1672, 0.3345, 0.7435), Ni at (0.3333, 0.6667, 0.0645) and Ni at (0.3333, 0.6667, 0.8724).

(17)
Computed, not measured: a geometry-optimized TlNi structure at the PBE-GGA level of DFT.

For the total energy, the calculation gives -3.21 eV per atom. The crystal system is hexagonal. The calculation puts the magnetic moment at 0.00 μB per cell.

It has space group P6_3mc (No. 186), with a = 4.1831 Å, b = 4.1831 Å, c = 6.7695 Å, α = 90.00°, β = 90.00° and γ = 120.00°. The inequivalent atoms are Tl at (0.3333, 0.6667, 0.0000) and Ni at (0.3333, 0.6667, 0.6222).

(18)
Computed, not measured: a geometry-optimized TlNi7 structure at the PBE-GGA level of DFT.

For the total energy, the calculation gives -4.94 eV per atom. The crystal system is tetragonal. The calculation puts the magnetic moment at 1.22 μB per cell.

It has space group P4/nmm (No. 129, origin choice 2), with a = 2.6928 Å, b = 2.6928 Å, c = 36.4692 Å, α = 90.00°, β = 90.00° and γ = 90.00°. The inequivalent atoms are Tl at (0.2500, 0.2500, 0.1642), Ni at (0.2500, 0.2500, 0.2679), Ni at (0.2500, 0.2500, 0.3524), Ni at (0.2500, 0.2500, 0.4369), Ni at (0.2500, 0.2500, 0.5210), Ni at (0.2500, 0.2500, 0.6052), Ni at (0.2500, 0.2500, 0.6899) and Ni at (0.2500, 0.2500, 0.7741).

(19)
Computed, not measured: a geometry-optimized Tl3Ni2 structure at the PBE-GGA level of DFT.

For the total energy, the calculation gives -3.43 eV per atom. The crystal system is trigonal. The calculation puts the magnetic moment at 0.00 μB per cell.

It has space group R-3c (No. 167, hexagonal axes), with a = 6.5587 Å, b = 6.5587 Å, c = 17.6751 Å, α = 90.00°, β = 90.00° and γ = 120.00°. The inequivalent atoms are Tl at (0.0000, 0.3659, 0.2500) and Ni at (0.0000, 0.0000, 0.1788).

(20)
Computed, not measured: a geometry-optimized TlNi9 structure at the PBE-GGA level of DFT.

The crystal system is orthorhombic. The calculation puts the magnetic moment at 10.43 μB per cell. The calculation puts the energy relative to the lowest polymorph listed for this composition at 0 meV per atom.

It has space group Pmmn (No. 59, origin choice 2), with a = 2.5677 Å, b = 3.4155 Å, c = 38.2497 Å, α = 90.00°, β = 90.00° and γ = 90.00°. The inequivalent atoms are Tl at (0.2500, 0.2500, 0.1769), Ni at (0.2500, 0.2500, 0.2577), Ni at (0.2500, 0.2500, 0.3228), Ni at (0.2500, 0.2500, 0.3875), Ni at (0.2500, 0.2500, 0.4519), Ni at (0.2500, 0.2500, 0.5161), Ni at (0.2500, 0.2500, 0.5804), Ni at (0.2500, 0.2500, 0.6446), Ni at (0.2500, 0.2500, 0.7092) and Ni at (0.2500, 0.2500, 0.7737).